Density functional theory data (PBE) for crystalline NdSm6Er4 at its relaxed geometry.

Relative energy among the computed polymorphs = 0.263 eV per atom
Energy of formation from the pure elements = 4.2 eV per formula unit
ρ = 7415 kg/m³

Lattice parameters (Å, degrees): 7.523 7.523 13.576 90.00 90.00 90.00
Space group I-42m (No. 121)
Inequivalent atoms, fractional coordinates:
Nd: 0.000 0.000 0.000
Sm: 0.000 0.500 0.000
Sm: 0.230 0.230 0.187
Er: 0.161 0.161 0.419

---

Density functional theory data (PBE) for crystalline Ba2NaSn7 at its relaxed geometry.

Energy of formation from the pure elements = -3.5 eV per formula unit
ρ = 5565 kg/m³

Lattice parameters (Å, degrees): 5.065 5.065 13.128 90.00 90.00 90.00
Space group P-4m2 (No. 115)
Inequivalent atoms, fractional coordinates:
Ba: 0.000 0.500 0.247
Na: 0.000 0.000 0.500
Sn: 0.000 0.000 0.000
Sn: 0.000 0.500 0.640
Sn: 0.000 0.500 0.866
Sn: 0.500 0.500 0.000
Sn: 0.500 0.500 0.500

---

Density functional theory data (PBE) for crystalline NaSrTlN2 at its relaxed geometry.

ρ = 4217 kg/m³
Formation energy (no corrections) = 586.6 kJ/mol of formula units

Lattice parameters (Å, degrees): 4.819 4.819 5.815 90.00 90.00 90.00
Space group P4/mmm (No. 123)
Inequivalent atoms, fractional coordinates:
Na: 0.000 0.000 0.000
Sr: 0.000 0.000 0.500
Tl: 0.500 0.500 0.000
N: 0.000 0.500 0.500

---

Density functional theory data (PBE) for crystalline HoNbN2 at its relaxed geometry.

ρ = 9528 kg/m³
Formation energy (no corrections) = -513.0 kJ/mol of formula units

Lattice parameters (Å, degrees): 3.251 4.651 6.590 90.00 90.00 90.00
Space group Pmmn (No. 59, origin choice 2)
Inequivalent atoms, fractional coordinates:
Ho: 0.250 0.250 0.130
Nb: 0.250 0.250 0.614
N: 0.250 0.750 0.142
N: 0.250 0.750 0.619

---

Density functional theory data (PBE) for crystalline CdB3Ru at its relaxed geometry.

Relative energy among the computed polymorphs = 0.000 eV per atom
Energy of formation from the pure elements = 5.0 eV per formula unit
ρ = 5779 kg/m³

Lattice parameters (Å, degrees): 4.134 4.134 4.134 90.00 90.00 90.00
Space group Pm-3m (No. 221)
Inequivalent atoms, fractional coordinates:
Cd: 0.000 0.000 0.000
B: 0.000 0.500 0.500
Ru: 0.500 0.500 0.500

---

Density functional theory data (PBE) for crystalline Nd3InHg4 at its relaxed geometry.

Relative energy among the computed polymorphs = 0.000 eV per atom
Energy of formation from the pure elements = -3.5 eV per formula unit
ρ = 10286 kg/m³

Lattice parameters (Å, degrees): 5.2620 5.2620 27.2650 90.00 90.00 120.00
Space group R-3m (No. 166, hexagonal axes)
Inequivalent atoms, fractional coordinates:
Nd: 0.0000 0.0000 0.0000
Nd: 0.0000 0.0000 0.2400
In: 0.0000 0.0000 0.5000
Hg: 0.0000 0.0000 0.1207
Hg: 0.0000 0.0000 0.3704

---

Density functional theory data (PBE) for crystalline PaTaGa4 at its relaxed geometry.

Energy of formation from the pure elements = -0.4 eV per formula unit
ρ = 10593 kg/m³

Lattice parameters (Å, degrees): 7.566 7.566 7.566 90.00 90.00 90.00
Space group F-43m (No. 216)
Inequivalent atoms, fractional coordinates:
Pa: 0.000 0.000 0.000
Ta: 0.250 0.250 0.750
Ga: 0.124 0.124 0.376

---

Density functional theory data (PBE) for crystalline Tb3Pm3Tm2 at its relaxed geometry.

Relative energy among the computed polymorphs = 0.000 eV per atom
Energy of formation from the pure elements = 0.1 eV per formula unit
ρ = 8033 kg/m³

Lattice parameters (Å, degrees): 6.178 6.189 7.992 105.05 104.99 109.10
Space group P-1 (No. 2)
Inequivalent atoms, fractional coordinates:
Tb: 0.000 0.000 0.000
Tb: 0.126 0.626 0.252
Pm: 0.374 0.874 0.748
Pm: 0.500 0.500 0.000
Tm: 0.250 0.250 0.500